## CaTmInPt (PBE-GGA)

Data for CaTmInPt after structural relaxation.

Lattice parameters (Å, degrees): 5.0955 5.0955 5.0955 60.00 60.00 60.00
Last column: nearest neighbours and their distance in Å.
Atoms (fractional coordinates):
1 Ca 0.5000 0.5000 0.5000  4 In 3.12, 4 Pt 3.12
2 Tm 0.0000 0.0000 0.0000  4 In 3.12, 4 Pt 3.12
3 Pt 0.7500 0.7500 0.7500  4 Ca 3.12, 4 Tm 3.12
4 In 0.2500 0.2500 0.2500  4 Ca 3.12, 4 Tm 3.12

formation enthalpy at 0 K: -689 meV per atom
VASP energy: -0.1655 hartree per atom
N(E_F): 1.454 states/eV per cell

=====

## LiZn2In2Pd5 (PBE-GGA)

Data for LiZn2In2Pd5 after structural relaxation.

Lattice parameters (Å, degrees): 3.7713 9.3888 9.3888 90.00 90.00 90.00
Last column: nearest neighbours and their distance in Å.
Atoms (fractional coordinates):
1 Li 0.0000 0.0000 0.0000  8 Pd 2.73
2 Li 0.0000 0.5000 0.5000  8 Pd 2.73
3 Zn 0.0000 0.1274 0.6274  6 Pd 2.53-2.56, 3 In 2.67-2.83
4 Zn 0.0000 0.8726 0.3726  6 Pd 2.53-2.56, 3 In 2.67-2.83
5 Zn 0.0000 0.6274 0.8726  6 Pd 2.53-2.56, 3 In 2.67-2.83
6 Zn 0.0000 0.3726 0.1274  6 Pd 2.53-2.56, 3 In 2.67-2.83
7 In 0.0000 0.6713 0.1713  3 Zn 2.67-2.83, 6 Pd 2.95-2.98
8 In 0.0000 0.3287 0.8287  3 Zn 2.67-2.83, 6 Pd 2.95-2.98
9 In 0.0000 0.1713 0.3287  3 Zn 2.67-2.83, 6 Pd 2.95-2.98
10 In 0.0000 0.8287 0.6713  3 Zn 2.67-2.83, 6 Pd 2.95-2.98
11 Pd 0.5000 0.1927 0.0840  2 Zn 2.56, 2 Li 2.73, 2 Pd 2.79
12 Pd 0.5000 0.8073 0.9160  2 Zn 2.56, 2 Li 2.73, 2 Pd 2.79
13 Pd 0.5000 0.0840 0.8073  2 Zn 2.56, 2 Li 2.73, 2 Pd 2.79
14 Pd 0.5000 0.6927 0.4160  2 Zn 2.56, 2 Li 2.73, 2 Pd 2.79
15 Pd 0.5000 0.9160 0.1927  2 Zn 2.56, 2 Li 2.73, 2 Pd 2.79
16 Pd 0.5000 0.3073 0.5840  2 Zn 2.56, 2 Li 2.73, 2 Pd 2.79
17 Pd 0.5000 0.5840 0.6927  2 Zn 2.56, 2 Li 2.73, 2 Pd 2.79
18 Pd 0.5000 0.4160 0.3073  2 Zn 2.56, 2 Li 2.73, 2 Pd 2.79
19 Pd 0.5000 0.5000 0.0000  4 Zn 2.53
20 Pd 0.5000 0.0000 0.5000  4 Zn 2.53

formation enthalpy at 0 K: -373 meV per atom
VASP energy: -0.1457 hartree per atom
N(E_F): 3.925 states/eV per cell

=====

## Pm3Er13 (PBE-GGA)

Data for Pm3Er13 after structural relaxation.

Lattice parameters (Å, degrees): 7.0654 7.0654 9.9731 90.00 90.00 90.12
Last column: nearest neighbours and their distance in Å.
Atoms (fractional coordinates):
1 Pm 0.0007 0.9993 0.2504  11 Er 3.52-3.54, 1 Pm 3.55
2 Pm 0.7484 0.2516 0.0000  10 Er 3.51-3.55, 2 Pm 3.55
3 Pm 0.0007 0.9993 0.7496  11 Er 3.52-3.54, 1 Pm 3.55
4 Er 0.4994 0.9995 0.2511  9 Er 3.52-3.54, 3 Pm 3.52-3.54
5 Er 0.4991 0.5009 0.2517  11 Er 3.50-3.54, 1 Pm 3.54
6 Er 0.0005 0.5006 0.2511  9 Er 3.52-3.54, 3 Pm 3.52-3.54
7 Er 0.7482 0.7485 0.0000  8 Er 3.51-3.56, 4 Pm 3.51-3.55
8 Er 0.2515 0.2518 0.0000  8 Er 3.51-3.56, 4 Pm 3.51-3.55
9 Er 0.2515 0.7485 0.0000  10 Er 3.51-3.56, 2 Pm 3.54
10 Er 0.4994 0.9995 0.7489  9 Er 3.52-3.54, 3 Pm 3.52-3.54
11 Er 0.4991 0.5009 0.7483  11 Er 3.50-3.54, 1 Pm 3.54
12 Er 0.0005 0.5006 0.7489  9 Er 3.52-3.54, 3 Pm 3.52-3.54
13 Er 0.7486 0.2514 0.5000  10 Er 3.51-3.55, 2 Pm 3.54
14 Er 0.7492 0.7488 0.5000  10 Er 3.51-3.55, 2 Pm 3.53
15 Er 0.2512 0.2508 0.5000  10 Er 3.51-3.55, 2 Pm 3.53
16 Er 0.2517 0.7483 0.5000  10 Er 3.50-3.55, 2 Pm 3.54

formation enthalpy at 0 K: 19 meV per atom
VASP energy: -0.1683 hartree per atom
N(E_F): 18.526 states/eV per cell
offset from the most stable computed form: 0.17 eV/f.u.

=====

## Sm2TiAl (PBE-GGA)

Data for Sm2TiAl after structural relaxation.

Lattice parameters (Å, degrees): 4.5262 4.6241 4.6241 90.00 90.00 90.00
Last column: nearest neighbours and their distance in Å.
Atoms (fractional coordinates):
1 Al 0.5000 0.5000 0.5000  8 Sm 3.24, 4 Ti 3.27
2 Sm 0.0000 0.0000 0.5000  4 Al 3.24, 4 Ti 3.24, 4 Sm 3.27
3 Sm 0.0000 0.5000 0.0000  4 Al 3.24, 4 Ti 3.24, 4 Sm 3.27
4 Ti 0.5000 0.0000 0.0000  8 Sm 3.24, 4 Al 3.27

formation enthalpy at 0 K: -29 meV per atom
VASP energy: -0.1947 hartree per atom
N(E_F): 4.524 states/eV per cell

=====

## ReNiSe (PBE-GGA)

Data for ReNiSe after structural relaxation.

Lattice parameters (Å, degrees): 5.0705 5.0705 5.0705 145.20 145.20 50.04
Last column: nearest neighbours and their distance in Å.
Atoms (fractional coordinates):
1 Ni 0.0022 0.0022 0.0000  4 Se 2.63, 4 Re 2.67
2 Re 0.3297 0.3297 0.0000  4 Se 2.61, 4 Ni 2.67
3 Se 0.6681 0.6681 0.0000  4 Re 2.61, 4 Ni 2.63

formation energy without anion corrections: 405 meV/atom
VASP energy: -0.2511 hartree per atom
N(E_F): 3.804 states/eV per cell
offset from the most stable computed form: 1.48 eV/f.u.

=====

## PrSmMgIr (PBE-GGA)

Data for PrSmMgIr after structural relaxation.

Lattice parameters (Å, degrees): 5.1813 5.1813 5.1813 60.00 60.00 60.00
Last column: nearest neighbours and their distance in Å.
Atoms (fractional coordinates):
1 Pr 0.7500 0.7500 0.7500  4 Ir 3.17, 4 Mg 3.17
2 Mg 0.0000 0.0000 0.0000  4 Sm 3.17, 4 Pr 3.17
3 Ir 0.5000 0.5000 0.5000  4 Pr 3.17, 4 Sm 3.17
4 Sm 0.2500 0.2500 0.2500  4 Mg 3.17, 4 Ir 3.17

formation enthalpy at 0 K: -311 meV per atom
VASP energy: -0.1947 hartree per atom
N(E_F): 2.979 states/eV per cell